Entry 1:
Material: Sc4AgPdRh2
Method: DFT, PBE
State: relaxed Values from VASP.

```
&SYSTEM
  ibrav = 0, nat = 8, ntyp = 4
/
ATOMIC_SPECIES
Sc 44.96 Sc.upf
Ag 107.87 Ag.upf
Pd 106.42 Pd.upf
Rh 102.91 Rh.upf
CELL_PARAMETERS angstrom
2.335 1.348 7.605
-2.335 1.348 7.605
0.000 -2.697 7.605
ATOMIC_POSITIONS crystal
Sc 0.123 0.123 0.123
Sc 0.373 0.373 0.373
Sc 0.627 0.627 0.627
Sc 0.877 0.877 0.877
Ag 0.500 0.500 0.500
Pd 0.000 0.000 0.000
Rh 0.250 0.250 0.250
Rh 0.750 0.750 0.750
```


Entry 2:
! Bi3PtO, relaxed, DFT PBE; values from VASP
&SYSTEM
  ibrav = 0, nat = 5, ntyp = 3
/
ATOMIC_SPECIES
Bi 208.98 Bi.upf
Pt 195.08 Pt.upf
O 16.00 O.upf
CELL_PARAMETERS angstrom
5.430 0.000 0.000
0.000 5.430 0.000
0.000 0.000 5.430
ATOMIC_POSITIONS crystal
Bi 0.000 0.000 0.500
Bi 0.000 0.500 0.000
Bi 0.500 0.000 0.000
Pt 0.000 0.000 0.000
O 0.500 0.500 0.500
! - formation energy from raw total energies (meV per atom) = 718
! - energy above the most stable polymorph in this dataset (eV/atom) = 0.761


Entry 3:
! Sm2Hg6Pb, relaxed, DFT PBE; values from VASP
&SYSTEM
  ibrav = 0, nat = 9, ntyp = 3
/
ATOMIC_SPECIES
Sm 150.36 Sm.upf
Hg 200.59 Hg.upf
Pb 207.20 Pb.upf
CELL_PARAMETERS angstrom
8.797 0.000 0.000
-4.399 7.619 0.000
0.000 0.000 3.461
ATOMIC_POSITIONS crystal
Sm 0.333 0.667 0.000
Sm 0.667 0.333 0.000
Hg 0.000 0.334 0.500
Hg 0.000 0.666 0.500
Hg 0.334 0.000 0.500
Hg 0.334 0.334 0.500
Hg 0.666 0.000 0.500
Hg 0.666 0.666 0.500
Pb 0.000 0.000 0.000
! - energy above the most stable polymorph in this dataset (eV/atom) = 0.000


Entry 4:
! Pu2PaSi, relaxed, DFT PBE; values from VASP
&SYSTEM
  ibrav = 0, nat = 4, ntyp = 3
/
ATOMIC_SPECIES
Pu 244.00 Pu.upf
Pa 231.04 Pa.upf
Si 28.09 Si.upf
CELL_PARAMETERS angstrom
-2.164 2.164 4.471
2.164 -2.164 4.471
2.164 2.164 -4.471
ATOMIC_POSITIONS crystal
Pu 0.250 0.750 0.500
Pu 0.750 0.250 0.500
Pa 0.000 0.000 0.000
Si 0.500 0.500 0.000
! - formation energy from raw total energies (meV per atom) = -240
! - energy above the most stable polymorph in this dataset (eV/atom) = 0.000


Entry 5:
! AlTc2, relaxed, DFT PBE; values from VASP
&SYSTEM
  ibrav = 0, nat = 6, ntyp = 2
/
ATOMIC_SPECIES
Al 26.98 Al.upf
Tc 98.00 Tc.upf
CELL_PARAMETERS angstrom
4.781 -1.540 0.000
4.781 1.540 0.000
-1.951 0.000 5.900
ATOMIC_POSITIONS crystal
Al 0.000 0.000 0.000
Al 0.684 0.684 0.349
Tc 0.005 0.005 0.483
Tc 0.325 0.325 0.153
Tc 0.346 0.346 0.671
Tc 0.668 0.668 0.814
! - energy above the most stable polymorph in this dataset (eV/atom) = 0.231


Entry 6:
! Ac2YPuO8, relaxed, DFT PBE; values from VASP
&SYSTEM
  ibrav = 0, nat = 12, ntyp = 4
/
ATOMIC_SPECIES
Ac 227.00 Ac.upf
Y 88.91 Y.upf
Pu 244.00 Pu.upf
O 16.00 O.upf
CELL_PARAMETERS angstrom
4.285 0.000 0.000
0.000 7.631 0.000
-0.695 0.000 5.716
ATOMIC_POSITIONS crystal
Ac 0.000 0.248 0.000
Ac 0.000 0.752 0.000
Y 0.500 0.000 0.500
Pu 0.500 0.500 0.500
O 0.056 0.000 0.256
O 0.100 0.500 0.302
O 0.440 0.283 0.721
O 0.440 0.717 0.721
O 0.560 0.283 0.279
O 0.560 0.717 0.279
O 0.900 0.500 0.698
O 0.944 0.000 0.744
! - formation energy from raw total energies (meV per atom) = -2988


Entry 7:
! TcAs2CBr, relaxed, DFT PBE; values from VASP
&SYSTEM
  ibrav = 0, nat = 5, ntyp = 4
/
ATOMIC_SPECIES
Tc 98.00 Tc.upf
As 74.92 As.upf
C 12.01 C.upf
Br 79.90 Br.upf
CELL_PARAMETERS angstrom
4.710 0.000 0.000
0.000 4.710 0.000
0.000 0.000 5.397
ATOMIC_POSITIONS crystal
Tc 0.000 0.000 0.000
As 0.000 0.500 0.000
As 0.500 0.000 0.000
C 0.500 0.500 0.500
Br 0.000 0.000 0.500
! - formation energy from raw total energies (meV per atom) = 1668
! - energy above the most stable polymorph in this dataset (eV/atom) = 0.197


Entry 8:
! PrSm2Pb2, relaxed, DFT PBE; values from VASP
&SYSTEM
  ibrav = 0, nat = 10, ntyp = 3
/
ATOMIC_SPECIES
Pr 140.91 Pr.upf
Sm 150.36 Sm.upf
Pb 207.20 Pb.upf
CELL_PARAMETERS angstrom
6.210 0.000 0.000
0.000 3.633 0.000
-2.465 0.000 14.495
ATOMIC_POSITIONS crystal
Pr 0.169 0.250 0.217
Pr 0.831 0.750 0.783
Sm 0.253 0.750 0.992
Sm 0.281 0.250 0.589
Sm 0.719 0.750 0.411
Sm 0.747 0.250 0.008
Pb 0.216 0.750 0.405
Pb 0.359 0.250 0.812
Pb 0.641 0.750 0.188
Pb 0.784 0.250 0.595
! - energy above the most stable polymorph in this dataset (eV/atom) = 0.000


Entry 9:
! MoPSe, relaxed, DFT PBE; values from VASP
&SYSTEM
  ibrav = 0, nat = 3, ntyp = 3
/
ATOMIC_SPECIES
Mo 95.94 Mo.upf
P 30.97 P.upf
Se 78.96 Se.upf
CELL_PARAMETERS angstrom
0.000 2.976 2.976
2.976 0.000 2.976
2.976 2.976 0.000
ATOMIC_POSITIONS crystal
Mo 0.000 0.000 0.000
P 0.750 0.750 0.750
Se 0.500 0.500 0.500
! - formation energy from raw total energies (meV per atom) = 531
! - energy above the most stable polymorph in this dataset (eV/atom) = 0.809


Entry 10:
! KZnIn, relaxed, DFT PBE; values from VASP
&SYSTEM
  ibrav = 0, nat = 3, ntyp = 3
/
ATOMIC_SPECIES
K 39.10 K.upf
Zn 65.41 Zn.upf
In 114.82 In.upf
CELL_PARAMETERS angstrom
-1.902 1.960 6.223
1.902 -1.960 6.223
1.902 1.960 -6.223
ATOMIC_POSITIONS crystal
K 0.000 0.000 0.000
Zn 0.709 0.709 0.000
In 0.287 0.287 0.000
! - energy above the most stable polymorph in this dataset (eV/atom) = 0.090


Number 1: energy -6.7897 eV per atom, V 143.7 Å³/cell. Number 2: energy -3.8101 eV per atom, V 160.1 Å³/cell. Number 3: energy -1.9272 eV per atom, V 232.0 Å³/cell. Number 4: energy -11.1352 eV per atom, V 83.8 Å³/cell. Number 5: energy -8.3404 eV per atom, V 86.9 Å³/cell. Number 6: energy -8.7116 eV per atom, V 186.9 Å³/cell. Number 7: energy -4.4439 eV per atom, V 119.7 Å³/cell. Number 8: energy -4.6603 eV per atom, V 327.0 Å³/cell. Number 9: energy -6.0439 eV per atom, V 52.7 Å³/cell. Number 10: energy -1.6649 eV per atom, V 92.8 Å³/cell.